1.
# NbVH4 (PBEsol, relaxed)
# VASP energy = -35.32 eV/cell
# D(E_F) = 0.40 states/eV per atom
# Size of the total moment = 0.0 μB per formula unit
data_NbVH4
_symmetry_space_group_name_H-M 'P 4/m m m'
_symmetry_Int_Tables_number 123
_symmetry_space_group_name_Hall '-P 4 2'
_cell_length_a 3.071
_cell_length_b 3.071
_cell_length_c 4.348
_cell_angle_alpha 90.00
_cell_angle_beta 90.00
_cell_angle_gamma 90.00
loop_
_atom_site_label
_atom_site_fract_x
_atom_site_fract_y
_atom_site_fract_z
Nb1 0.000 0.000 0.000
V1 0.500 0.500 0.500
H1 0.000 0.500 0.276

---

2.
# NbH3W (PBEsol, relaxed)
# VASP energy = -31.76 eV/cell
# D(E_F) = 0.55 states/eV per atom
# Size of the total moment = 0.0 μB per formula unit
data_NbH3W
_symmetry_space_group_name_H-M 'P m -3 m'
_symmetry_Int_Tables_number 221
_symmetry_space_group_name_Hall '-P 4 2 3'
_cell_length_a 3.494
_cell_length_b 3.494
_cell_length_c 3.494
_cell_angle_alpha 90.00
_cell_angle_beta 90.00
_cell_angle_gamma 90.00
loop_
_atom_site_label
_atom_site_fract_x
_atom_site_fract_y
_atom_site_fract_z
Nb1 0.000 0.000 0.000
H1 0.000 0.000 0.500
W1 0.500 0.500 0.500

---

3.
# Nb2H2W (PBEsol, relaxed)
# VASP energy = -85.59 eV/cell
# D(E_F) = 0.30 states/eV per atom
# Size of the total moment = 0.0 μB per formula unit
data_Nb2H2W
_symmetry_space_group_name_H-M 'I 4/m m m'
_symmetry_Int_Tables_number 139
_symmetry_space_group_name_Hall '-I 4 2'
_cell_length_a 3.236
_cell_length_b 3.236
_cell_length_c 10.837
_cell_angle_alpha 90.00
_cell_angle_beta 90.00
_cell_angle_gamma 90.00
loop_
_atom_site_label
_atom_site_fract_x
_atom_site_fract_y
_atom_site_fract_z
Nb1 0.000 0.000 0.146
H1 0.000 0.500 0.250
W1 0.000 0.000 0.500

---

4.
# Nb2ZnH2 (PBEsol, relaxed)
# VASP energy = -61.24 eV/cell
# D(E_F) = 0.41 states/eV per atom
# Size of the total moment = 0.0 μB per formula unit
data_Nb2ZnH2
_symmetry_space_group_name_H-M 'I 4/m m m'
_symmetry_Int_Tables_number 139
_symmetry_space_group_name_Hall '-I 4 2'
_cell_length_a 3.550
_cell_length_b 3.550
_cell_length_c 8.803
_cell_angle_alpha 90.00
_cell_angle_beta 90.00
_cell_angle_gamma 90.00
loop_
_atom_site_label
_atom_site_fract_x
_atom_site_fract_y
_atom_site_fract_z
Nb1 0.000 0.000 0.161
Zn1 0.000 0.000 0.500
H1 0.000 0.500 0.250

---

5.
# NbZn2H (PBEsol, relaxed)
# VASP energy = -62.92 eV/cell
# D(E_F) = 0.26 states/eV per atom
# Size of the total moment = 0.0 μB per formula unit
data_NbZn2H
_symmetry_space_group_name_H-M 'I -4 2 d'
_symmetry_Int_Tables_number 122
_symmetry_space_group_name_Hall 'I -4 2bw'
_cell_length_a 5.285
_cell_length_b 5.285
_cell_length_c 7.164
_cell_angle_alpha 90.00
_cell_angle_beta 90.00
_cell_angle_gamma 90.00
loop_
_atom_site_label
_atom_site_fract_x
_atom_site_fract_y
_atom_site_fract_z
Nb1 0.000 0.000 0.000
Zn1 0.073 0.750 0.625
H1 0.000 0.000 0.500

---

6.
# Nb2ZnH (PBEsol, relaxed)
# VASP energy = -96.74 eV/cell
# D(E_F) = 0.86 states/eV per atom
# Size of the total moment = 0.0 μB per formula unit
data_Nb2ZnH
_symmetry_space_group_name_H-M 'I -4 2 d'
_symmetry_Int_Tables_number 122
_symmetry_space_group_name_Hall 'I -4 2bw'
_cell_length_a 5.078
_cell_length_b 5.078
_cell_length_c 9.678
_cell_angle_alpha 90.00
_cell_angle_beta 90.00
_cell_angle_gamma 90.00
loop_
_atom_site_label
_atom_site_fract_x
_atom_site_fract_y
_atom_site_fract_z
Nb1 0.085 0.250 0.125
Zn1 0.000 0.000 0.500
H1 0.000 0.000 0.000

---

7.
# ZrNb2H (PBEsol, relaxed)
# VASP energy = -120.71 eV/cell
# D(E_F) = 0.92 states/eV per atom
# Size of the total moment = 0.0 μB per formula unit
data_ZrNb2H
_symmetry_space_group_name_H-M 'F m -3 m'
_symmetry_Int_Tables_number 225
_symmetry_space_group_name_Hall '-F 4 2 3'
_cell_length_a 6.358
_cell_length_b 6.358
_cell_length_c 6.358
_cell_angle_alpha 90.00
_cell_angle_beta 90.00
_cell_angle_gamma 90.00
loop_
_atom_site_label
_atom_site_fract_x
_atom_site_fract_y
_atom_site_fract_z
Zr1 0.000 0.000 0.000
Nb1 0.250 0.250 0.250
H1 0.000 0.000 0.500

---

8.
# ZrNbH2 (PBEsol, relaxed)
# VASP energy = -101.85 eV/cell
# D(E_F) = 0.38 states/eV per atom
# Size of the total moment = 0.0 μB per formula unit
data_ZrNbH2
_symmetry_space_group_name_H-M 'F m -3 m'
_symmetry_Int_Tables_number 225
_symmetry_space_group_name_Hall '-F 4 2 3'
_cell_length_a 5.608
_cell_length_b 5.608
_cell_length_c 5.608
_cell_angle_alpha 90.00
_cell_angle_beta 90.00
_cell_angle_gamma 90.00
loop_
_atom_site_label
_atom_site_fract_x
_atom_site_fract_y
_atom_site_fract_z
Zr1 0.000 0.000 0.000
Nb1 0.000 0.000 0.500
H1 0.250 0.250 0.250

---

9.
# Nd2H5 (PBEsol, relaxed)
# VASP energy = -125.00 eV/cell
# D(E_F) = 0.14 states/eV per atom
# Size of the total moment = 0.0 μB per formula unit
data_Nd2H5
_symmetry_space_group_name_H-M 'I 41/a m d'
_symmetry_Int_Tables_number 141
_cell_length_a 5.333
_cell_length_b 5.333
_cell_length_c 10.848
_cell_angle_alpha 90.00
_cell_angle_beta 90.00
_cell_angle_gamma 90.00
loop_
_symmetry_equiv_pos_as_xyz
'x,y,z'
'-x,-y,-z'
'-y+1/4,x+3/4,z+1/4'
'y+1/4,-x+3/4,-z+1/4'
'-x+1/2,-y,z+1/2'
'x+1/2,y,-z+1/2'
'y+1/4,-x+1/4,z+3/4'
'-y+1/4,x+1/4,-z+3/4'
'x,-y,-z'
'-x,y,z'
'-y+1/4,-x+1/4,-z+3/4'
'y+1/4,x+1/4,z+3/4'
'-x+1/2,y,-z+1/2'
'x+1/2,-y,z+1/2'
'y+1/4,x+3/4,-z+1/4'
'-y+1/4,-x+3/4,z+1/4'
'x+1/2,y+1/2,z+1/2'
'-x+1/2,-y+1/2,-z+1/2'
'-y+3/4,x+1/4,z+3/4'
'y+3/4,-x+1/4,-z+3/4'
'-x,-y+1/2,z'
'x,y+1/2,-z'
'y+3/4,-x+3/4,z+1/4'
'-y+3/4,x+3/4,-z+1/4'
'x+1/2,-y+1/2,-z+1/2'
'-x+1/2,y+1/2,z+1/2'
'-y+3/4,-x+3/4,-z+1/4'
'y+3/4,x+3/4,z+1/4'
'-x,y+1/2,-z'
'x,-y+1/2,z'
'y+3/4,x+1/4,-z+3/4'
'-y+3/4,-x+1/4,z+3/4'
loop_
_atom_site_label
_atom_site_fract_x
_atom_site_fract_y
_atom_site_fract_z
Nd1 0.000 0.250 0.121
H1 0.000 0.250 0.875
H2 0.231 0.000 0.500

---

10.
# NdH3 (PBEsol, relaxed)
# VASP energy = -69.33 eV/cell
# D(E_F) = 0.07 states/eV per atom
# Size of the total moment = 0.0 μB per formula unit
data_NdH3
_symmetry_space_group_name_H-M 'F m -3 m'
_symmetry_Int_Tables_number 225
_symmetry_space_group_name_Hall '-F 4 2 3'
_cell_length_a 5.330
_cell_length_b 5.330
_cell_length_c 5.330
_cell_angle_alpha 90.00
_cell_angle_beta 90.00
_cell_angle_gamma 90.00
loop_
_atom_site_label
_atom_site_fract_x
_atom_site_fract_y
_atom_site_fract_z
Nd1 0.000 0.000 0.000
H1 0.000 0.000 0.500
H2 0.250 0.250 0.250

---

11.
# NdH3 (PBEsol, relaxed)
# VASP energy = -104.40 eV/cell
# D(E_F) = 0.02 states/eV per atom
# Size of the total moment = 0.0 μB per formula unit
data_NdH3
_symmetry_space_group_name_H-M 'P -3 c 1'
_symmetry_Int_Tables_number 165
_symmetry_space_group_name_Hall '-P 3 2"c'
_cell_length_a 6.5559
_cell_length_b 6.5559
_cell_length_c 6.7603
_cell_angle_alpha 90.00
_cell_angle_beta 90.00
_cell_angle_gamma 120.00
loop_
_atom_site_label
_atom_site_fract_x
_atom_site_fract_y
_atom_site_fract_z
Nd1 0.0000 0.3363 0.2500
H1 0.0000 0.0000 0.2500
H2 0.0230 0.3447 0.9042
H3 0.3333 0.6667 0.1676

---

12.
# NdNiSnH (PBEsol, relaxed)
# VASP energy = -85.97 eV/cell
# D(E_F) = 0.44 states/eV per atom
# Size of the total moment = 0.0 μB per formula unit
data_NdNiSnH
_symmetry_space_group_name_H-M 'P n m a'
_symmetry_Int_Tables_number 62
_symmetry_space_group_name_Hall '-P 2ac 2n'
_cell_length_a 7.129
_cell_length_b 4.331
_cell_length_c 8.338
_cell_angle_alpha 90.00
_cell_angle_beta 90.00
_cell_angle_gamma 90.00
loop_
_atom_site_label
_atom_site_fract_x
_atom_site_fract_y
_atom_site_fract_z
Nd1 0.013 0.250 0.190
Ni1 0.221 0.750 0.399
Sn1 0.160 0.250 0.570
H1 0.058 0.250 0.918